1.
# Y3Sc2Pb3

An optimized crystal structure of Y3Sc2Pb3 (PBE-GGA, Alexandria).

## Properties
E (eV per atom): -5.958

Cell lengths 8.894, 8.894, 6.371 Å; angles 90.00, 90.00, 120.00 degrees
Atoms (fractional coordinates):
Y: 0.000 0.238 0.250
Y: 0.000 0.762 0.750
Y: 0.238 0.000 0.250
Y: 0.238 0.238 0.750
Y: 0.762 0.000 0.750
Y: 0.762 0.762 0.250
Sc: 0.333 0.667 0.000
Sc: 0.333 0.667 0.500
Sc: 0.667 0.333 0.000
Sc: 0.667 0.333 0.500
Pb: 0.000 0.400 0.750
Pb: 0.000 0.600 0.250
Pb: 0.400 0.000 0.750
Pb: 0.400 0.400 0.250
Pb: 0.600 0.000 0.250
Pb: 0.600 0.600 0.750

2.
# NdZrIn4

An optimized crystal structure of NdZrIn4 (PBE-GGA, Alexandria).

## Properties
E (eV per atom): -4.254

Cell lengths 5.934, 5.934, 5.934 Å; angles 60.00, 60.00, 60.00 degrees
Atoms (fractional coordinates):
Nd: 0.000 0.000 0.000
Zr: 0.750 0.750 0.750
In: 0.375 0.375 0.375
In: 0.375 0.375 0.874
In: 0.375 0.874 0.375
In: 0.874 0.375 0.375

3.
# Rb3Sm2ErSe6

An optimized crystal structure of Rb3Sm2ErSe6 (PBE-GGA, Alexandria).

## Properties
E_form (uncorrected) (eV per atom): -1.73
E (eV per atom): -4.885

Cell lengths 7.428, 7.428, 8.380 Å; angles 98.50, 98.50, 120.00 degrees
Atoms (fractional coordinates):
Rb: 0.000 0.000 0.000
Rb: 0.332 0.668 0.000
Rb: 0.668 0.332 0.000
Sm: 0.167 0.833 0.500
Sm: 0.833 0.167 0.500
Er: 0.500 0.500 0.500
Se: 0.108 0.434 0.303
Se: 0.240 0.240 0.698
Se: 0.434 0.108 0.303
Se: 0.566 0.892 0.697
Se: 0.760 0.760 0.302
Se: 0.892 0.566 0.697

4.
# FeNiSn4

An optimized crystal structure of FeNiSn4 (PBE-GGA, Alexandria).

## Properties
E (eV per atom): -5.100

Cell lengths 6.549, 6.549, 5.408 Å; angles 90.00, 90.00, 90.00 degrees
Atoms (fractional coordinates):
Fe: 0.000 0.000 0.250
Fe: 0.000 0.000 0.750
Ni: 0.500 0.500 0.250
Ni: 0.500 0.500 0.750
Sn: 0.164 0.336 0.000
Sn: 0.164 0.664 0.500
Sn: 0.336 0.164 0.500
Sn: 0.336 0.836 0.000
Sn: 0.664 0.164 0.000
Sn: 0.664 0.836 0.500
Sn: 0.836 0.336 0.500
Sn: 0.836 0.664 0.000

5.
# CeGdNi2

An optimized crystal structure of CeGdNi2 (PBE-GGA, Alexandria).

## Properties
Relative energy among the computed polymorphs (eV per atom): 0.000
E (eV per atom): -8.183

Cell lengths 3.417, 3.417, 6.814 Å; angles 90.00, 90.00, 90.00 degrees
Atoms (fractional coordinates):
Ce: 0.000 0.000 0.000
Gd: 0.000 0.000 0.500
Ni: 0.500 0.500 0.228
Ni: 0.500 0.500 0.772

6.
# TbPmPr2Dy5

An optimized crystal structure of TbPmPr2Dy5 (PBE-GGA, Alexandria).

## Properties
E (eV per atom): -4.399

Cell lengths 9.986, 9.986, 9.986 Å; angles 128.28, 128.28, 76.17 degrees
Atoms (fractional coordinates):
Tb: 0.250 0.750 0.500
Tb: 0.750 0.250 0.500
Pm: 0.250 0.250 0.000
Pm: 0.750 0.750 0.000
Pr: 0.118 0.618 0.736
Pr: 0.382 0.118 0.500
Pr: 0.618 0.882 0.500
Pr: 0.882 0.382 0.264
Dy: 0.000 0.000 0.000
Dy: 0.072 0.149 0.500
Dy: 0.149 0.649 0.078
Dy: 0.351 0.428 0.500
Dy: 0.428 0.928 0.078
Dy: 0.500 0.500 0.000
Dy: 0.572 0.072 0.922
Dy: 0.649 0.572 0.500
Dy: 0.851 0.351 0.922
Dy: 0.928 0.851 0.500

7.
# ScTaMo2

An optimized crystal structure of ScTaMo2 (PBE-GGA, Alexandria).

## Properties
Relative energy among the computed polymorphs (eV per atom): 0.225
E (eV per atom): -9.726

Cell lengths 5.515, 5.515, 5.515 Å; angles 139.34, 139.34, 58.86 degrees
Atoms (fractional coordinates):
Sc: 0.000 0.000 0.000
Ta: 0.250 0.750 0.500
Mo: 0.500 0.500 0.000
Mo: 0.750 0.250 0.500

8.
# H2Ir2Os

An optimized crystal structure of H2Ir2Os (PBE-GGA, Alexandria).

## Properties
Relative energy among the computed polymorphs (eV per atom): 0.007
E (eV per atom): -6.647

Cell lengths 4.806, 4.806, 4.806 Å; angles 137.58, 137.58, 61.54 degrees
Atoms (fractional coordinates):
H: 0.250 0.750 0.500
H: 0.750 0.250 0.500
Ir: 0.160 0.160 0.000
Ir: 0.840 0.840 0.000
Os: 0.500 0.500 0.000

> The lowest E belongs to which entry?

ScTaMo2

> E of number 3 (Rb3Sm2ErSe6)?

-4.885 eV per atom

> Which formula does entry 3 have?

Rb3Sm2ErSe6